Record 1
Entry from Alexandria: crystalline DyWO5 at its relaxed geometry (PBE+U).

Summary:
For the calculated volume, the calculation gives 15.09 Å³/atom. The value obtained for the polymorph energy (0 for the lowest one) is 21.6 kJ/mol of formula units. The value obtained for the uncorrected energy is -7.54 eV per atom. For the calculated density, the calculation gives 6.70 g/cm³. As for the density of states at the Fermi level: 1.64 states/eV/f.u. For the magnetization, the calculation gives 4.051 μB per cell.

Unit cell a=5.325 b=12.767 c=7.002 alpha=90.00 beta=117.45 gamma=90.00
Space group P2_1/c (No. 14)
Unique sites:
Dy (0.142, 0.056, 0.284) (multiplicity 4)
W (0.379, 0.137, 0.843) (multiplicity 4)
O (0.010, 0.085, 0.557) (multiplicity 4)
O (0.175, 0.069, 0.964) (multiplicity 4)
O (0.282, 0.641, 0.419) (multiplicity 4)
O (0.288, 0.227, 0.289) (multiplicity 4)
O (0.493, 0.570, 0.841) (multiplicity 4)

Record 2
Entry from Alexandria: crystalline Dy2YWO8 at its relaxed geometry (PBE+U).

Summary:
For the calculated volume, the calculation gives 14.58 Å³/atom. The value obtained for the uncorrected energy is -8.06 eV per atom. For the calculated density, the calculation gives 6.89 g/cm³. As for the density of states at the Fermi level: 7.67 states/eV/f.u. For the magnetization, the calculation gives 1.766 μB per cell.

Unit cell a=7.111 b=7.204 c=6.830 alpha=90.00 beta=90.00 gamma=90.00
Space group Cmmm (No. 65)
Unique sites:
Dy (0.000, 0.000, 0.250) (multiplicity 4)
Y (0.000, 0.500, 0.000) (multiplicity 2)
W (0.000, 0.500, 0.500) (multiplicity 2)
O (0.000, 0.317, 0.288) (multiplicity 8)
O (0.192, 0.000, 0.000) (multiplicity 4)
O (0.225, 0.000, 0.500) (multiplicity 4)

Record 3
Entry from Alexandria: crystalline DyY2WO8 at its relaxed geometry (PBE+U).

Summary:
For the calculated volume, the calculation gives 14.59 Å³/atom. The value obtained for the uncorrected energy is -8.20 eV per atom. For the calculated density, the calculation gives 6.18 g/cm³. As for the density of states at the Fermi level: 7.43 states/eV/f.u. For the magnetization, the calculation gives 1.647 μB per cell.

Unit cell a=7.110 b=7.213 c=6.829 alpha=90.00 beta=90.00 gamma=90.00
Space group Cmmm (No. 65)
Unique sites:
Dy (0.000, 0.000, 0.000) (multiplicity 2)
Y (0.000, 0.500, 0.251) (multiplicity 4)
W (0.000, 0.000, 0.500) (multiplicity 2)
O (0.000, 0.182, 0.288) (multiplicity 8)
O (0.193, 0.500, 0.000) (multiplicity 4)
O (0.225, 0.500, 0.500) (multiplicity 4)